{
  "formula": "AlFe2SbO6",
  "functional": "GGA+U",
  "state": "optimized geometry",
  "final_energy_ev_per_atom": -6.67,
  "dos_ef_per_ev_cell": 0.0,
  "lattice_angstrom": [[5.259, 0.000, 0.000], [0.000, 5.269, 0.000], [-5.252, 0.000, 7.513]],
  "species": ["Al", "Al", "Fe", "Fe", "Fe", "Fe", "Sb", "Sb", "O", "O", "O", "O", "O", "O", "O", "O", "O", "O", "O", "O"],
  "frac_coords": [[0.000, 0.000, 0.000], [0.000, 0.500, 0.500], [0.249, 0.037, 0.743], [0.249, 0.463, 0.243], [0.751, 0.537, 0.757], [0.751, 0.963, 0.257], [0.500, 0.000, 0.500], [0.500, 0.500, 0.000], [0.121, 0.188, 0.448], [0.121, 0.312, 0.948], [0.255, 0.679, 0.440], [0.255, 0.821, 0.940], [0.353, 0.058, 0.245], [0.353, 0.442, 0.745], [0.647, 0.558, 0.255], [0.647, 0.942, 0.755], [0.745, 0.179, 0.060], [0.745, 0.321, 0.560], [0.879, 0.688, 0.052], [0.879, 0.812, 0.552]]
}